## one
Compound: BAs2HSe
Source: the Alexandria database
Functional: PBE
Structure: relaxed

- symmetry = P4/mmm, No. 123

Structure (POSCAR):
```
BAs2HSe
1.0
4.3846 0.0000 0.0000
0.0000 4.3846 0.0000
0.0000 0.0000 4.4586
B As H Se
1 2 1 1
direct
0.0000 0.0000 0.0000
0.0000 0.5000 0.0000
0.5000 0.0000 0.0000
0.5000 0.5000 0.5000
0.0000 0.0000 0.5000
```

***

## two
Compound: BAs2HSe
Source: the Alexandria database
Functional: PBE
Structure: relaxed

- symmetry = P4/mmm, No. 123

Structure (POSCAR):
```
BAs2HSe
1.0
3.8522 0.0000 0.0000
0.0000 3.8522 0.0000
0.0000 0.0000 5.2064
B As H Se
1 2 1 1
direct
0.0000 0.0000 0.0000
0.0000 0.5000 0.5000
0.5000 0.0000 0.5000
0.5000 0.5000 0.5000
0.5000 0.5000 0.0000
```

***

Energies relative to the most stable structure are one 0.000; two 0.083, reported in eV/atom.

***

## one
Compound: Hf2BAs
Source: the Alexandria database
Functional: PBE
Structure: relaxed

- symmetry = Fm-3m, No. 225

Structure (POSCAR):
```
Hf2BAs
1.0
6.3882 0.0000 0.0000
0.0000 6.3882 0.0000
0.0000 0.0000 6.3882
Hf B As
8 4 4
direct
0.2500 0.2500 0.2500
0.2500 0.2500 0.7500
0.2500 0.7500 0.2500
0.2500 0.7500 0.7500
0.7500 0.2500 0.2500
0.7500 0.2500 0.7500
0.7500 0.7500 0.2500
0.7500 0.7500 0.7500
0.0000 0.0000 0.0000
0.0000 0.5000 0.5000
0.5000 0.0000 0.5000
0.5000 0.5000 0.0000
0.0000 0.0000 0.5000
0.0000 0.5000 0.0000
0.5000 0.0000 0.0000
0.5000 0.5000 0.5000
```

***

## two
Compound: Hf2BAs
Source: the Alexandria database
Functional: PBE
Structure: relaxed

- symmetry = I-42d, No. 122

Structure (POSCAR):
```
Hf2BAs
1.0
6.7522 0.0000 0.0000
0.0000 6.7522 0.0000
0.0000 0.0000 6.0015
Hf B As
8 4 4
direct
0.2145 0.2500 0.1250
0.2500 0.7145 0.3750
0.2500 0.7855 0.8750
0.2855 0.2500 0.6250
0.7145 0.7500 0.6250
0.7500 0.2145 0.8750
0.7500 0.2855 0.3750
0.7855 0.7500 0.1250
0.0000 0.0000 0.0000
0.0000 0.5000 0.2500
0.5000 0.0000 0.7500
0.5000 0.5000 0.5000
0.0000 0.0000 0.5000
0.0000 0.5000 0.7500
0.5000 0.0000 0.2500
0.5000 0.5000 0.0000
```

***

## three
Compound: Hf2BAs
Source: the Alexandria database
Functional: PBE
Structure: relaxed

- symmetry = R-3m, No. 166

Structure (POSCAR):
```
Hf2BAs
1.0
3.5504 0.0000 0.0000
-1.7752 3.0747 0.0000
0.0000 0.0000 18.5479
Hf B As
6 3 3
direct
0.0000 0.0000 0.2371
0.0000 0.0000 0.7629
0.3333 0.6667 0.4296
0.3333 0.6667 0.9038
0.6667 0.3333 0.0962
0.6667 0.3333 0.5704
0.0000 0.0000 0.5000
0.3333 0.6667 0.1667
0.6667 0.3333 0.8333
0.0000 0.0000 0.0000
0.3333 0.6667 0.6667
0.6667 0.3333 0.3333
```

***

Energies relative to the most stable structure are one 0.805; two 0.484; three 0.000, reported in eV/atom.

***

## one
Compound: HfBAs2Se
Source: the Alexandria database
Functional: PBE
Structure: relaxed

- symmetry = P4/mmm, No. 123

Structure (POSCAR):
```
HfBAs2Se
1.0
5.1593 0.0000 0.0000
0.0000 5.1593 0.0000
0.0000 0.0000 5.1299
Hf B As Se
1 1 2 1
direct
0.0000 0.0000 0.0000
0.5000 0.5000 0.5000
0.0000 0.5000 0.0000
0.5000 0.0000 0.0000
0.0000 0.0000 0.5000
```

***

## two
Compound: HfBAs2Se
Source: the Alexandria database
Functional: PBE
Structure: relaxed

- symmetry = P4/mmm, No. 123

Structure (POSCAR):
```
HfBAs2Se
1.0
4.4264 0.0000 0.0000
0.0000 4.4264 0.0000
0.0000 0.0000 4.4486
Hf B As Se
1 1 2 1
direct
0.0000 0.0000 0.0000
0.5000 0.5000 0.5000
0.0000 0.5000 0.5000
0.5000 0.0000 0.5000
0.5000 0.5000 0.0000
```

***

Energies relative to the most stable structure are one 0.495; two 0.000, reported in eV/atom.

***

## one
Compound: Hg2BAs
Source: the Alexandria database
Functional: PBE
Structure: relaxed

- symmetry = Fm-3m, No. 225

Structure (POSCAR):
```
Hg2BAs
1.0
6.8105 0.0000 0.0000
0.0000 6.8105 0.0000
0.0000 0.0000 6.8105
Hg B As
8 4 4
direct
0.2500 0.2500 0.2500
0.2500 0.2500 0.7500
0.2500 0.7500 0.2500
0.2500 0.7500 0.7500
0.7500 0.2500 0.2500
0.7500 0.2500 0.7500
0.7500 0.7500 0.2500
0.7500 0.7500 0.7500
0.0000 0.0000 0.0000
0.0000 0.5000 0.5000
0.5000 0.0000 0.5000
0.5000 0.5000 0.0000
0.0000 0.0000 0.5000
0.0000 0.5000 0.0000
0.5000 0.0000 0.0000
0.5000 0.5000 0.5000
```

***

## two
Compound: Hg2BAs
Source: the Alexandria database
Functional: PBE
Structure: relaxed

- symmetry = I-42d, No. 122

Structure (POSCAR):
```
Hg2BAs
1.0
6.3086 0.0000 0.0000
0.0000 6.3086 0.0000
0.0000 0.0000 8.9075
Hg B As
8 4 4
direct
0.1880 0.7500 0.1250
0.2500 0.1880 0.8750
0.2500 0.3120 0.3750
0.3120 0.7500 0.6250
0.6880 0.2500 0.6250
0.7500 0.6880 0.3750
0.7500 0.8120 0.8750
0.8120 0.2500 0.1250
0.0000 0.0000 0.0000
0.0000 0.5000 0.2500
0.5000 0.0000 0.7500
0.5000 0.5000 0.5000
0.0000 0.0000 0.5000
0.0000 0.5000 0.7500
0.5000 0.0000 0.2500
0.5000 0.5000 0.0000
```

***

Energies relative to the most stable structure are one 0.252; two 0.000, reported in eV/atom.